DFT (PBE-GGA) results for a geometry-optimized KOs3C structure.

The structure in POSCAR format:
```
KOs3C
1.0
4.219 0.000 0.000
0.000 4.219 0.000
0.000 0.000 4.219
K Os C
1 3 1
direct
0.000 0.000 0.000 K
0.000 0.500 0.500 Os
0.500 0.000 0.500 Os
0.500 0.500 0.000 Os
0.500 0.500 0.500 C
```

Properties
**Total magnetization**: 1.68 μB per formula unit
**Energy above the lowest structure with this stoichiometry**: 0 meV/atom
**ΔH_f (0 K)**: 1.358 eV/atom



DFT (PBE-GGA) results for a geometry-optimized BaSr2Y structure.

The structure in POSCAR format:
```
BaSr2Y
1.0
4.518 0.000 0.000
0.000 6.467 0.000
0.000 0.000 6.496
Ba Sr Y
1 2 1
direct
0.000 0.000 0.000 Ba
0.000 0.500 0.500 Sr
0.500 0.000 0.500 Sr
0.500 0.500 0.000 Y
```

Properties
**Total magnetization**: 0.00 μB per formula unit
**Energy above the lowest structure with this stoichiometry**: 47 meV/atom
**ΔH_f (0 K)**: 0.195 eV/atom



DFT (PBE-GGA) results for a geometry-optimized Ce6Os2Pd structure.

The structure in POSCAR format:
```
Ce6Os2Pd
1.0
6.456 0.000 0.000
0.000 7.246 0.000
-6.196 0.000 9.697
Ce Os Pd
12 4 2
direct
0.068 0.191 0.426 Ce
0.068 0.309 0.926 Ce
0.279 0.641 0.443 Ce
0.279 0.859 0.943 Ce
0.400 0.061 0.232 Ce
0.400 0.439 0.732 Ce
0.600 0.561 0.268 Ce
0.600 0.939 0.768 Ce
0.721 0.141 0.057 Ce
0.721 0.359 0.557 Ce
0.932 0.691 0.074 Ce
0.932 0.809 0.574 Ce
0.171 0.123 0.724 Os
0.171 0.377 0.224 Os
0.829 0.623 0.776 Os
0.829 0.877 0.276 Os
0.500 0.000 0.500 Pd
0.500 0.500 0.000 Pd
```

Properties
**Total magnetization**: 1.15 μB per formula unit
**Energy above the lowest structure with this stoichiometry**: 115 meV/atom
**ΔH_f (0 K)**: -0.174 eV/atom



DFT (PBE-GGA) results for a geometry-optimized LiAc4Ti3O12 structure.

The structure in POSCAR format:
```
LiAc4Ti3O12
1.0
-4.000 4.000 4.000
4.000 -4.000 4.000
4.000 4.000 -4.000
Li Ac Ti O
1 4 3 12
direct
0.000 0.000 0.000 Li
0.000 0.000 0.500 Ac
0.000 0.500 0.000 Ac
0.500 0.000 0.000 Ac
0.500 0.500 0.500 Ac
0.000 0.500 0.500 Ti
0.500 0.000 0.500 Ti
0.500 0.500 0.000 Ti
0.000 0.260 0.260 O
0.000 0.740 0.740 O
0.250 0.500 0.750 O
0.250 0.750 0.500 O
0.260 0.000 0.260 O
0.260 0.260 0.000 O
0.500 0.250 0.750 O
0.500 0.750 0.250 O
0.740 0.000 0.740 O
0.740 0.740 0.000 O
0.750 0.250 0.500 O
0.750 0.500 0.250 O
```

Properties
**Total magnetization**: 0.94 μB per formula unit
**Formation energy (no corrections)**: -3174 meV/atom